! Li2AgSe2, optimized geometry, DFT PBE; values from VASP
&SYSTEM
  ibrav = 0, nat = 10, ntyp = 3
/
ATOMIC_SPECIES
Se 78.96 Se.upf
Ag 107.87 Ag.upf
Li 6.94 Li.upf
ATOMIC_POSITIONS angstrom
Se -1.099 -1.364 -5.371
Se -1.168 1.540 -8.277
Se -1.521 4.431 -5.379
Se -1.452 1.527 -2.474
Ag 0.141 1.639 -5.304
Ag 0.000 0.000 0.000
Li 0.408 -0.607 -7.406
Li 0.098 3.746 -7.561
Li 0.184 -0.468 -3.047
Li -0.126 3.886 -3.202
CELL_PARAMETERS angstrom
-0.324 6.930 -3.681
0.606 -3.651 -6.927
-2.902 -0.211 -0.142
! **Energy relative to the elements, uncorrected**: -0.58 eV per atom
! **Total magnetic moment**: 0.000 μB/atom
! **Calculated density**: 5.17 g/cm³
! **Energy above the most stable polymorph in this dataset**: 0.064 eV per atom
! **Final energy**: -0.1216 hartree per atom